# 1
The following is a DFT calculation (PBE) of TlZn2S after structural relaxation.

Structure (POSCAR):
```
TlZn2S
1.0
-1.133 -4.587 -1.414
1.640 -3.858 2.599
-3.153 -2.695 2.669
S Tl Zn
1 1 2
Cartesian
0.000 0.000 0.000
-1.323 -5.570 1.927
-0.661 -2.785 0.963
-1.984 -8.355 2.890
```

Density in g/cm3: 7.2
SG: Fm-3m, No. 225



# 2
The following is a DFT calculation (PBE) of Tl2ZnS2 after structural relaxation.

Structure (POSCAR):
```
Tl2ZnS2
1.0
6.993 0.000 0.000
0.000 6.993 0.000
0.000 0.000 5.009
S Tl Zn
4 4 2
Cartesian
2.218 5.714 0.000
5.714 4.775 0.000
4.775 1.279 0.000
1.279 2.218 0.000
1.094 4.590 2.504
4.590 5.900 2.504
5.900 2.403 2.504
2.403 1.094 2.504
0.000 0.000 0.000
3.497 3.497 0.000
```

Density in g/cm3: 7.3
Energy above the lowest structure with this stoichiometry in meV per atom: 367
SG: P4/mbm, No. 127



# 3
The following is a DFT calculation (PBE) of TlZnS6 after structural relaxation.

Structure (POSCAR):
```
TlZnS6
1.0
5.181 -0.117 -5.512
0.089 10.714 -3.267
-3.859 -2.797 9.041
Tl Zn S
1 1 6
Cartesian
0.706 3.900 0.131
0.000 0.000 0.000
1.875 -0.788 0.781
3.503 6.985 -5.067
-0.496 2.557 2.839
-2.092 0.816 5.328
-0.464 8.589 -0.520
1.907 5.244 -2.577
```

Density in g/cm3: 3.4
SG: P-1, No. 2



# 4
The following is a DFT calculation (PBE) of TlZn3S after structural relaxation.

Structure (POSCAR):
```
TlZn3S
1.0
-3.210 3.017 -2.063
-3.439 -1.563 3.065
1.238 3.481 3.164
S Tl Zn
1 1 3
Cartesian
0.000 0.000 0.000
-2.705 2.467 2.083
-1.719 -0.782 1.532
0.619 1.740 1.582
-1.605 1.508 -1.031
```

Density in g/cm3: 6.2
Energy above the lowest structure with this stoichiometry in meV per atom: 0
SG: Pm-3m, No. 221



# 5
The following is a DFT calculation (PBE) of Tl2ZnS2 after structural relaxation.

Structure (POSCAR):
```
Tl2ZnS2
1.0
5.720 0.000 2.441
1.588 6.466 4.200
0.046 0.963 7.813
Tl Zn S
4 2 4
Cartesian
2.550 2.922 9.868
4.804 4.507 4.587
0.889 0.742 5.838
6.465 6.687 8.616
2.247 3.715 6.617
5.107 3.715 7.838
1.521 4.006 4.358
5.833 3.424 10.097
3.556 5.504 7.510
3.798 1.925 6.945
```

Density in g/cm3: 6.6
Energy above the lowest structure with this stoichiometry in meV per atom: 0
SG: Ibam, No. 72



# 6
The following is a DFT calculation (PBE) of TlZn3S after structural relaxation.

Structure (POSCAR):
```
TlZn3S
1.0
5.106 0.000 0.000
0.000 5.106 0.000
0.000 0.000 5.106
S Tl Zn
1 1 3
Cartesian
2.553 2.553 2.553
0.000 0.000 0.000
0.000 2.553 0.000
0.000 0.000 2.553
2.553 0.000 0.000
```

Density in g/cm3: 5.4
Energy above the lowest structure with this stoichiometry in meV per atom: 367
SG: Pm-3m, No. 221



# 7
The following is a DFT calculation (PBE) of TlZnS after structural relaxation.

Structure (POSCAR):
```
TlZnS
1.0
5.727 0.000 0.000
0.000 3.802 0.000
0.000 -1.901 3.293
S Tl Zn
1 1 1
Cartesian
0.619 0.000 0.000
3.680 1.901 1.098
1.428 0.000 2.195
```

Density in g/cm3: 7.0
SG: P3m1, No. 156



# 8
The following is a DFT calculation (PBE) of Tl2Zn2S after structural relaxation.

Structure (POSCAR):
```
Tl2Zn2S
1.0
-1.184 -5.881 2.580
4.519 1.101 4.584
-3.853 2.209 3.268
S Tl Zn
2 4 4
Cartesian
0.000 0.000 0.000
1.668 -2.390 3.582
0.913 0.823 5.173
1.007 -1.951 7.159
-1.432 -3.394 5.259
-1.526 -0.620 3.273
3.485 -1.206 4.924
1.832 -4.405 5.138
-0.150 -3.574 2.240
1.503 -0.375 2.026
```

Density in g/cm3: 8.1
SG: P4/mbm, No. 127



# 9
The following is a DFT calculation (PBE) of Tl3ZnS after structural relaxation.

Structure (POSCAR):
```
Tl3ZnS
1.0
5.859 0.000 0.000
0.000 5.859 0.000
0.000 0.000 5.859
S Tl Zn
1 3 1
Cartesian
0.000 0.000 0.000
0.000 2.929 0.000
0.000 0.000 2.929
2.929 0.000 0.000
2.929 2.929 2.929
```

Density in g/cm3: 5.9
Energy above the lowest structure with this stoichiometry in meV per atom: 67
SG: Pm-3m, No. 221



# 10
The following is a DFT calculation (PBE) of Tl2ZnS8 after structural relaxation.

Structure (POSCAR):
```
Tl2ZnS8
1.0
5.167 0.518 0.179
-0.661 7.590 -2.864
2.100 -1.214 7.865
Tl Zn S
2 1 8
Cartesian
3.548 1.715 3.727
3.058 5.179 1.453
0.000 0.000 0.000
1.558 -0.285 4.734
1.223 3.553 3.286
5.048 7.179 0.446
1.449 4.195 -0.783
5.383 3.341 1.894
3.114 0.621 0.926
3.492 6.273 4.254
5.157 2.699 5.963
```

Density in g/cm3: 4.2
SG: C2/m, No. 12



# 11
The following is a DFT calculation (PBE) of Tl2ZnS after structural relaxation.

Structure (POSCAR):
```
Tl2ZnS
1.0
0.000 3.735 3.735
3.735 0.000 3.735
3.735 3.735 0.000
S Tl Zn
1 2 1
Cartesian
0.000 0.000 0.000
1.868 1.868 1.868
5.603 5.603 5.603
3.735 3.735 3.735
```

Density in g/cm3: 8.1
SG: Fm-3m, No. 225



# 12
The following is a DFT calculation (PBE) of ZrTlS2 after structural relaxation.

Structure (POSCAR):
```
ZrTlS2
1.0
-10.082 10.422 1.804
8.139 -11.261 -4.525
-2.061 -2.375 2.204
Tl S Zr
2 4 2
Cartesian
6.713 -10.770 -3.658
-10.717 7.557 3.141
3.694 -7.179 -2.609
-7.698 3.965 2.092
-8.339 7.142 1.571
4.336 -10.355 -2.088
1.952 -5.105 -2.004
-5.955 1.891 1.487
```

Density in g/cm3: 6.2
SG: Cmcm, No. 63



# 13
The following is a DFT calculation (PBE) of ZrTlS2 after structural relaxation.

Structure (POSCAR):
```
ZrTlS2
1.0
-0.868 7.337 -2.997
1.984 -2.718 -7.228
-2.682 1.662 -5.759
Tl S Zr
2 4 2
Cartesian
-0.504 4.295 -10.548
-1.062 1.986 -5.436
-0.058 5.226 -4.948
1.174 -0.608 -5.277
0.030 2.033 -2.187
1.086 2.586 -8.038
-1.496 5.654 -6.934
-0.070 0.627 -9.049
```

Density in g/cm3: 5.6
SG: I4/mcm, No. 140



# 14
The following is a DFT calculation (PBE) of ZrTlS2 after structural relaxation.

Structure (POSCAR):
```
ZrTlS2
1.0
2.318 0.000 8.993
-1.159 2.007 8.993
-1.159 -2.007 8.993
Tl S Zr
1 2 1
Cartesian
0.000 0.000 13.427
0.000 0.000 2.711
0.000 0.000 17.297
0.000 0.000 0.315
```

Density in g/cm3: 4.8
SG: R3m, No. 160



# 15
The following is a DFT calculation (PBE) of ZrTlS2 after structural relaxation.

Structure (POSCAR):
```
ZrTlS2
1.0
3.968 0.000 0.000
0.000 3.968 0.000
0.000 0.000 5.584
Tl S Zr
1 2 1
Cartesian
1.984 1.984 0.000
1.984 1.984 2.792
0.000 0.000 0.000
0.000 0.000 2.792
```

Density in g/cm3: 6.8
SG: P4/mmm, No. 123



# 16
The following is a DFT calculation (PBE) of Zr2TlS4 after structural relaxation.

Structure (POSCAR):
```
Zr2TlS4
1.0
3.589 0.000 -0.718
-0.379 6.023 -1.895
-0.106 -0.612 8.792
Zr Tl S
2 1 4
Cartesian
0.741 1.172 3.704
2.362 4.239 2.475
1.605 3.011 -1.307
1.942 5.735 0.379
1.161 -0.324 5.800
0.342 2.769 1.707
2.762 2.642 4.472
```

Density in g/cm3: 4.6
Energy above the lowest structure with this stoichiometry in meV per atom: 0
SG: C2/m, No. 12



# 17
The following is a DFT calculation (PBE) of Zr2TlS4 after structural relaxation.

Structure (POSCAR):
```
Zr2TlS4
1.0
3.782 0.000 0.000
-1.891 6.336 0.000
0.000 0.000 13.198
Zr Tl S
4 2 8
Cartesian
0.000 1.664 5.761
1.891 4.672 12.360
0.000 1.664 0.838
1.891 4.672 7.438
1.891 1.315 9.899
0.000 5.021 3.300
1.891 3.380 1.409
1.891 3.380 5.190
0.000 2.955 11.789
0.000 2.955 8.008
1.891 5.270 9.899
0.000 1.066 3.300
1.891 0.000 0.000
1.891 0.000 6.599
```

Density in g/cm3: 5.4
Energy above the lowest structure with this stoichiometry in meV per atom: 102
SG: Cmcm, No. 63



# 18
The following is a DFT calculation (PBE) of Zr4TlS after structural relaxation.

Structure (POSCAR):
```
Zr4TlS
1.0
-1.418 -4.950 -2.872
6.282 -1.303 -0.873
-1.282 -0.632 7.764
Zr Tl S
8 2 2
Cartesian
-1.511 -3.051 4.885
1.688 -4.091 -0.959
5.094 -3.834 -0.867
1.895 -2.794 4.978
3.380 -6.086 1.443
3.041 -2.517 1.522
0.203 -0.799 2.576
0.542 -4.368 2.497
2.139 -6.112 4.496
1.444 -0.773 -0.477
-1.350 -2.791 2.446
2.500 -0.968 3.445
```

Density in g/cm3: 7.5
SG: P-1, No. 2



# 19
The following is a DFT calculation (PBE) of ZrTl2S3 after structural relaxation.

Structure (POSCAR):
```
ZrTl2S3
1.0
7.626 -0.521 2.653
2.596 7.189 2.653
0.539 0.352 6.925
Zr Tl S
2 4 6
Cartesian
7.380 0.151 4.385
3.381 6.869 7.847
7.485 3.563 6.660
6.546 5.591 10.123
4.215 1.429 2.109
3.275 3.458 5.572
4.698 4.851 7.847
6.063 2.170 4.385
2.148 0.979 6.954
9.269 5.624 8.740
1.492 1.396 3.492
8.613 6.042 5.278
```

Density in g/cm3: 5.3
SG: C2/c, No. 15



# 20
The following is a DFT calculation (PBE) of ZrTlS3 after structural relaxation.

Structure (POSCAR):
```
ZrTlS3
1.0
4.992 0.000 0.000
0.000 4.992 0.000
0.000 0.000 4.992
Tl S Zr
1 3 1
Cartesian
0.000 0.000 0.000
0.000 2.496 0.000
0.000 0.000 2.496
2.496 0.000 0.000
2.496 2.496 2.496
```

Density in g/cm3: 5.2
Energy above the lowest structure with this stoichiometry in meV per atom: 1462
SG: Pm-3m, No. 221



# 21
The following is a DFT calculation (PBE) of ZrTl5S5 after structural relaxation.

Structure (POSCAR):
```
ZrTl5S5
1.0
5.291 0.000 0.000
-2.645 7.593 -0.413
0.000 -3.393 7.986
Zr Tl S
1 5 5
Cartesian
0.000 0.000 0.000
2.645 2.175 2.063
2.645 -0.693 6.206
0.000 -1.696 3.993
0.000 4.893 1.366
0.000 2.026 5.510
2.645 5.089 0.089
2.645 3.542 5.074
2.645 0.000 0.000
0.000 0.658 2.499
0.000 -0.888 7.484
```

Density in g/cm3: 6.7
SG: C2/m, No. 12



# 22
The following is a DFT calculation (PBE) of ZrTlS4 after structural relaxation.

Structure (POSCAR):
```
ZrTlS4
1.0
-1.303 0.782 -4.828
-5.587 -6.326 3.136
-6.989 4.608 2.632
Zr Tl S
2 2 8
Cartesian
-5.197 -1.245 1.201
-8.682 0.309 -0.260
-6.588 2.633 2.204
-7.292 -3.569 -1.263
-3.558 0.862 1.100
-2.749 -0.926 0.592
-6.327 -0.592 -1.042
-8.764 2.661 0.143
-5.115 -3.597 0.798
-7.553 -0.345 1.982
-11.130 -0.010 0.349
-10.322 -1.798 -0.159
```

Density in g/cm3: 3.8
Energy above the lowest structure with this stoichiometry in meV per atom: 37
SG: C2/m, No. 12



# 23
The following is a DFT calculation (PBE) of ZrTlS2 after structural relaxation.

Structure (POSCAR):
```
ZrTlS2
1.0
-4.012 -0.687 5.493
-4.935 -4.469 -1.258
2.733 -5.974 -1.656
Tl S Zr
2 4 2
Cartesian
-6.350 -6.889 2.335
0.135 -4.240 0.243
-1.279 -1.219 0.512
-2.334 -6.744 0.108
-4.936 -9.911 2.067
-3.881 -4.386 2.470
-2.216 -6.219 2.533
-3.999 -4.911 0.045
```

Density in g/cm3: 5.0
SG: C2/c, No. 15



# 24
The following is a DFT calculation (PBE) of ZrTl4S4 after structural relaxation.

Structure (POSCAR):
```
ZrTl4S4
1.0
-0.380 -2.623 2.863
5.560 -4.889 -1.083
6.318 2.902 6.154
Zr Tl S
1 4 4
Cartesian
-0.190 -1.311 1.432
3.255 -3.025 2.976
6.459 -5.073 4.183
8.243 -1.584 4.958
5.039 0.464 3.751
1.923 -0.360 2.583
9.575 -4.250 5.351
6.956 -0.851 8.116
4.542 -3.758 -0.182
```

Density in g/cm3: 6.8
Energy above the lowest structure with this stoichiometry in meV per atom: 7
SG: C2/m, No. 12



# 25
The following is a DFT calculation (PBE) of ZrTlS2 after structural relaxation.

Structure (POSCAR):
```
ZrTlS2
1.0
6.878 0.000 0.000
0.000 6.878 0.000
3.439 3.439 3.379
Tl S Zr
2 4 2
Cartesian
6.878 3.439 1.689
3.439 6.878 1.689
5.159 1.720 0.000
1.719 5.158 0.000
1.720 1.719 0.000
5.158 5.159 0.000
6.878 6.878 1.689
3.439 3.439 1.689
```

Density in g/cm3: 7.5
SG: P4/mmm, No. 123



M_tot? In order: 0.000, 0.000, 0.000, 0.000, 0.000, 0.808, 0.000, 0.000, 0.000, 0.000, 0.000, 0.016, 0.001, 0.768, 0.000, 0.000, 0.000, 0.000, 0.000, 0.900, 0.000, 0.000, 0.000, 0.000, 0.000 μB/cell.
Energy relative to the elements, uncorrected? In order: 0.2543, -0.0943, -0.0216, 0.3073, -0.4617, 0.6745, -0.3217, -0.0030, 0.2609, 0.0267, 0.0058, -1.0428, -0.8996, -0.8147, -0.6056, -1.3564, -1.2548, -0.4708, -0.9474, 0.5407, -0.5609, -0.6709, -0.8885, -0.7799, -0.4131 eV per atom.